# SrCdF2 | Alexandria via LeMat-Bulk | PBE | relaxed
data_SrCdF2
_chemical_formula_sum 'Sr3 Cd3 F6'
_symmetry_space_group_name_H-M 'R -3 m'
_symmetry_Int_Tables_number 166
_symmetry_space_group_name_Hall '-R 3 2"'
_cell_length_a 4.2274
_cell_length_b 4.2274
_cell_length_c 18.9242
_cell_angle_alpha 90.00
_cell_angle_beta 90.00
_cell_angle_gamma 120.00
loop_
_atom_site_label
_atom_site_fract_x
_atom_site_fract_y
_atom_site_fract_z
Sr1 0.0000 0.0000 0.0000
Cd1 0.0000 0.0000 0.5000
F1 0.0000 0.0000 0.1221
# Electronic total energy ... -3.447 eV per atom
# Density of states at the Fermi level ... 6.04 states/eV per cell
# Distance to the lowest polymorph of the same formula ... 831 meV/atom
# E_form (uncorrected) ... -1.862 eV per atom